Record 1
KNb3Ag, relaxed, DFT PBE-GGA; energy of formation = 1.97 eV per atom; raw total energy = -24.32 eV per cell; magnetization = 2.982 μB per formula unit; V = 135 Å³ per cell; energy above the lowest structure with this stoichiometry = 0.0000 eV per atom
1.0
-0.6479 -5.0263 0.8297
4.7739 -0.8910 -1.6697
1.7782 0.5607 4.7849
Nb K Ag
3 1 1
Direct
0.0000 0.5000 0.0000
0.0000 0.0000 0.5000
0.5000 0.0000 0.0000
0.5000 0.5000 0.5000
0.0000 0.0000 0.0000

=====

Record 2
KNb2AgO6, relaxed, DFT PBE-GGA; raw total energy = -149.17 eV per cell; magnetization = 0.000 μB per formula unit; V = 375 Å³ per cell
1.0
6.6690 -0.0458 -0.0475
2.0794 7.5257 -0.5828
2.0794 -0.8613 7.4989
K Nb Ag O
2 4 2 12
Direct
0.2500 0.9018 0.0982
0.7500 0.0982 0.9018
0.3130 0.7285 0.5761
0.1870 0.4239 0.2715
0.6870 0.2715 0.4239
0.8130 0.5761 0.7285
0.2500 0.2265 0.7735
0.7500 0.7735 0.2265
0.1972 0.9177 0.7624
0.3028 0.2376 0.0823
0.8028 0.0823 0.2376
0.6972 0.7624 0.9177
0.4033 0.8257 0.3792
0.0967 0.6208 0.1743
0.5967 0.1743 0.6208
0.9033 0.3792 0.8257
0.0565 0.6429 0.5736
0.4435 0.4264 0.3571
0.9435 0.3571 0.4264
0.5565 0.5736 0.6429

=====

Record 3
KNb4AgP2S20, relaxed, DFT PBE-GGA; raw total energy = -155.57 eV per cell; magnetization = 0.000 μB per formula unit; V = 739 Å³ per cell
1.0
7.5721 0.0605 -0.0694
0.2429 7.6993 -0.0466
3.1074 -0.0272 12.6523
K Nb Ag P S
1 4 1 2 20
Direct
0.6365 0.5041 0.3837
0.9974 0.0662 0.8963
0.9958 0.9385 0.1063
0.9975 0.0617 0.6077
0.9993 0.9338 0.3979
0.5080 0.5014 0.9977
0.7878 0.3700 0.7783
0.2028 0.6314 0.2209
0.2355 0.1047 0.7200
0.7565 0.9025 0.2835
0.7483 0.1012 0.7850
0.2467 0.8977 0.2179
0.7262 0.0792 0.0511
0.2670 0.9254 0.9526
0.1240 0.8656 0.7358
0.8761 0.1373 0.2707
0.7959 0.8355 0.9903
0.1969 0.1691 0.0130
0.5611 0.5240 0.8071
0.4304 0.4748 0.1885
0.9405 0.3988 0.8885
0.0451 0.6036 0.1143
0.7975 0.8270 0.5671
0.2025 0.1630 0.4381
0.7276 0.0705 0.5255
0.2676 0.9189 0.4812
0.9337 0.3954 0.6254
0.0645 0.5987 0.3754

=====

Record 4
KNbAg2S4, relaxed, DFT PBE-GGA; raw total energy = -38.86 eV per cell; magnetization = 0.000 μB per formula unit; V = 208 Å³ per cell
1.0
-2.8185 -5.8603 -1.5388
5.2646 -1.5191 -3.8251
0.8694 1.7220 6.3433
K Nb Ag S
1 1 2 4
Direct
0.0008 0.0008 0.0016
0.4999 0.4999 0.9998
0.7500 0.2500 0.5000
0.2500 0.7500 0.5000
0.5536 0.5536 0.7106
0.4464 0.8426 0.2890
0.8426 0.4464 0.2890
0.1570 0.1570 0.7106